ScTlSi2 after structural relaxation, computed with GGA-PBE.

Cell lengths 5.362, 5.362, 4.646 Å; angles 109.20, 109.20, 39.43 degrees
Atoms (fractional coordinates):
1 Sc 0.000 0.000 0.000
2 Tl 0.791 0.791 0.341
3 Si 0.245 0.245 0.828
4 Si 0.570 0.570 0.585

Results
- final energy (eV for the cell shown) = -19.642
- mass density (g/cm3) = 6.38
- formation energy from raw total energies (meV per atom) = -25
- total moment (μB/atom) = 0.000
- space group = Cm (8)

ScTlSi2 after structural relaxation, computed with GGA-PBE.

Cell lengths 3.088, 3.732, 7.478 Å; angles 90.00, 90.08, 90.00 degrees
Atoms (fractional coordinates):
1 Sc 0.000 0.000 0.000
2 Tl 0.499 0.500 0.687
3 Si 0.501 0.500 0.164
4 Si 0.502 0.000 0.363

Results
- final energy (eV for the cell shown) = -19.577
- mass density (g/cm3) = 5.89
- formation energy from raw total energies (meV per atom) = -8
- total moment (μB/atom) = 0.000
- space group = Pm (6)

ScTlSi2 after structural relaxation, computed with GGA-PBE.

Cell lengths 7.848, 7.848, 7.848 Å; angles 27.01, 27.01, 27.01 degrees
Atoms (fractional coordinates):
1 Sc 0.000 0.000 0.000
2 Tl 0.770 0.770 0.770
3 Si 0.256 0.256 0.256
4 Si 0.544 0.544 0.544

Results
- final energy (eV for the cell shown) = -19.571
- mass density (g/cm3) = 5.77
- formation energy from raw total energies (meV per atom) = -7
- total moment (μB/atom) = 0.000
- space group = R3m (160)